Entry 1:
{
  "formula": "CsGdO3",
  "functional": "PBE-GGA",
  "state": "relaxed",
  "lattice_angstrom": [[-4.135, 1.974, -0.052], [-1.145, -2.298, 3.796], [1.609, 3.439, 2.567]],
  "species": ["Cs", "Gd", "O", "O", "O"],
  "frac_coords": [[0.000, 0.000, 0.000], [0.500, 0.500, 0.500], [0.500, 0.500, 0.000], [0.500, 0.000, 0.500], [0.000, 0.500, 0.500]],
  "dft_energy_ev_per_cell": -38.8,
  "crystal_system": "cubic",
  "e_form_raw_ev_per_fu": -8.968,
  "m_tot_mub_per_fu": 7.98,
  "dos_ef_per_ev_cell": 6.45
}

Entry 2:
{
  "formula": "CaAg2P",
  "functional": "PBE-GGA",
  "state": "relaxed",
  "lattice_angstrom": [[5.319, -0.077, -0.051], [3.422, 4.073, -0.051], [3.422, 1.564, 3.761]],
  "species": ["Ag", "Ag", "Ca", "P"],
  "frac_coords": [[0.038, 0.038, 0.038], [0.268, 0.268, 0.268], [0.490, 0.490, 0.490], [0.704, 0.704, 0.704]],
  "formation_energy_mev_per_atom": -276,
  "dft_energy_ev_per_cell": -14.2,
  "crystal_system": "trigonal",
  "m_tot_mub_per_fu": 0.00,
  "dos_ef_per_ev_cell": 1.49
}

Entry 3:
{
  "formula": "AlAg2SnOs",
  "functional": "PBE-GGA",
  "state": "relaxed",
  "lattice_angstrom": [[-3.811, -1.122, -2.501], [0.864, -5.015, 0.933], [-2.627, 0.269, 3.881]],
  "species": ["Os", "Sn", "Ag", "Ag", "Al"],
  "frac_coords": [[0.500, 0.500, 0.500], [0.000, 0.500, 0.000], [0.000, 0.000, 0.500], [0.500, 0.000, 0.000], [0.000, 0.000, 0.000]],
  "formation_energy_mev_per_atom": 1428,
  "dft_energy_ev_per_cell": -17.5,
  "crystal_system": "tetragonal",
  "m_tot_mub_per_fu": 2.47,
  "dos_ef_per_ev_cell": 6.27
}

Entry 4:
{
  "formula": "ThZr2NiN4",
  "functional": "PBE-GGA",
  "state": "relaxed",
  "lattice_angstrom": [[-0.213, -0.278, -3.295], [5.017, -2.339, 1.540], [-4.965, -9.889, 1.155]],
  "species": ["Th", "Th", "Zr", "Zr", "Zr", "Zr", "Ni", "Ni", "N", "N", "N", "N", "N", "N", "N", "N"],
  "frac_coords": [[0.107, 0.214, 0.750], [0.893, 0.786, 0.250], [0.368, 0.736, 0.557], [0.632, 0.264, 0.057], [0.632, 0.264, 0.443], [0.368, 0.736, 0.943], [0.842, 0.684, 0.750], [0.158, 0.316, 0.250], [0.273, 0.546, 0.115], [0.727, 0.454, 0.615], [0.727, 0.454, 0.885], [0.273, 0.546, 0.385], [0.000, 0.000, 0.500], [0.000, 0.000, 0.000], [0.450, 0.899, 0.750], [0.550, 0.101, 0.250]],
  "dft_energy_ev_per_cell": -149.2,
  "crystal_system": "orthorhombic",
  "e_form_raw_ev_per_fu": -10.995,
  "m_tot_mub_per_fu": 0.00,
  "dos_ef_per_ev_cell": 4.11
}

Entry 5:
{
  "formula": "HfTcO2",
  "functional": "PBE-GGA",
  "state": "relaxed",
  "lattice_angstrom": [[4.083, 0.000, 0.000], [0.000, 4.083, 0.000], [2.042, 2.042, 6.157]],
  "species": ["Hf", "Hf", "Tc", "Tc", "O", "O", "O", "O"],
  "frac_coords": [[0.000, 0.000, 0.000], [0.750, 0.250, 0.500], [0.500, 0.500, 0.000], [0.250, 0.750, 0.500], [0.624, 0.125, 0.250], [0.126, 0.625, 0.250], [0.375, 0.376, 0.750], [0.875, 0.874, 0.750]],
  "e_above_lowest_polymorph_ev_per_atom": 0.237,
  "dft_energy_ev_per_cell": -72.3,
  "crystal_system": "tetragonal",
  "e_form_raw_ev_per_fu": -5.937,
  "m_tot_mub_per_fu": 0.00,
  "dos_ef_per_ev_cell": 3.32
}

Entry 6:
{
  "formula": "InAsBr2",
  "functional": "PBE-GGA",
  "state": "relaxed",
  "lattice_angstrom": [[-4.038, -2.821, -3.130], [2.446, -5.099, 1.441], [-5.898, -4.428, 6.159]],
  "species": ["As", "As", "Br", "Br", "Br", "Br", "In", "In"],
  "frac_coords": [[0.500, 0.500, 0.000], [0.250, 0.750, 0.500], [0.545, 0.125, 0.250], [0.205, 0.625, 0.250], [0.375, 0.455, 0.750], [0.875, 0.795, 0.750], [0.000, 0.000, 0.000], [0.750, 0.250, 0.500]],
  "e_above_lowest_polymorph_ev_per_atom": 0.365,
  "dft_energy_ev_per_cell": -21.1,
  "crystal_system": "tetragonal",
  "e_form_raw_ev_per_fu": 0.170,
  "m_tot_mub_per_fu": 0.00,
  "dos_ef_per_ev_cell": 0.05
}

Entry 7:
{
  "formula": "YAl2Ni",
  "functional": "PBE-GGA",
  "state": "relaxed",
  "lattice_angstrom": [[4.178, -0.008, -0.009], [2.100, 3.613, -0.009], [2.092, 1.201, 5.068]],
  "species": ["Y", "Ni", "Al", "Al"],
  "frac_coords": [[0.756, 0.756, 0.733], [0.566, 0.566, 0.303], [0.959, 0.959, 0.122], [0.220, 0.220, 0.341]],
  "formation_energy_mev_per_atom": -517,
  "dft_energy_ev_per_cell": -21.8,
  "crystal_system": "monoclinic",
  "m_tot_mub_per_fu": 0.00,
  "dos_ef_per_ev_cell": 2.43
}

Entry 8:
{
  "formula": "TbPr2Y5Tm",
  "functional": "PBE-GGA",
  "state": "relaxed",
  "lattice_angstrom": [[-4.387, -7.322, 1.519], [5.852, -4.458, -4.589], [3.514, 4.707, 8.100]],
  "species": ["Tb", "Tb", "Pr", "Pr", "Pr", "Pr", "Y", "Y", "Y", "Y", "Y", "Y", "Y", "Y", "Y", "Y", "Tm", "Tm"],
  "frac_coords": [[0.250, 0.250, 0.500], [0.750, 0.750, 0.500], [0.118, 0.382, 0.000], [0.618, 0.118, 0.000], [0.382, 0.882, 0.000], [0.882, 0.618, 0.000], [0.928, 0.428, 0.281], [0.647, 0.147, 0.719], [0.072, 0.572, 0.719], [0.147, 0.072, 0.719], [0.572, 0.647, 0.719], [0.853, 0.928, 0.281], [0.428, 0.353, 0.281], [0.353, 0.853, 0.281], [0.500, 0.500, 0.000], [0.000, 0.000, 0.000], [0.250, 0.750, 0.500], [0.750, 0.250, 0.500]],
  "formation_energy_mev_per_atom": 260,
  "dft_energy_ev_per_cell": -97.3,
  "crystal_system": "tetragonal",
  "m_tot_mub_per_fu": 0.00,
  "dos_ef_per_ev_cell": 24.43
}

Entry 9:
{
  "formula": "Ac2PmPr",
  "functional": "PBE-GGA",
  "state": "relaxed",
  "lattice_angstrom": [[5.292, 0.000, -0.468], [0.000, 7.735, 0.000], [0.679, 0.000, 7.705]],
  "species": ["Ac", "Ac", "Ac", "Ac", "Pm", "Pm", "Pr", "Pr"],
  "frac_coords": [[0.000, 0.500, 0.749], [0.000, 0.500, 0.251], [0.000, 0.000, 0.251], [0.000, 0.000, 0.749], [0.500, 0.750, 0.500], [0.500, 0.250, 0.500], [0.500, 0.750, 0.000], [0.500, 0.250, 0.000]],
  "formation_energy_mev_per_atom": 24,
  "e_above_lowest_polymorph_ev_per_atom": 0.001,
  "dft_energy_ev_per_cell": -35.3,
  "crystal_system": "orthorhombic",
  "m_tot_mub_per_fu": 0.00,
  "dos_ef_per_ev_cell": 12.15
}

Entry 10:
{
  "formula": "K2CoAs",
  "functional": "PBE-GGA",
  "state": "relaxed",
  "lattice_angstrom": [[3.341, 0.000, 0.000], [0.000, 3.344, 0.000], [0.000, 0.000, 10.000]],
  "species": ["As", "Co", "K", "K"],
  "frac_coords": [[0.000, 0.000, 0.586], [0.500, 0.500, 0.660], [0.000, 0.000, 0.914], [0.500, 0.500, 0.340]],
  "formation_energy_mev_per_atom": 140,
  "dft_energy_ev_per_cell": -13.4,
  "crystal_system": "tetragonal",
  "m_tot_mub_per_fu": 0.53,
  "dos_ef_per_ev_cell": 3.50
}

Entry 11:
{
  "formula": "WAuCl2",
  "functional": "PBE-GGA",
  "state": "relaxed",
  "lattice_angstrom": [[-1.468, 4.130, 10.164], [-2.612, 1.388, 10.666], [0.357, 1.850, 10.907]],
  "species": ["Au", "W", "Cl", "Cl"],
  "frac_coords": [[0.750, 0.750, 0.750], [0.250, 0.250, 0.250], [0.971, 0.971, 0.971], [0.529, 0.529, 0.529]],
  "e_above_lowest_polymorph_ev_per_atom": 0.099,
  "dft_energy_ev_per_cell": -19.8,
  "crystal_system": "trigonal",
  "e_form_raw_ev_per_fu": 0.147,
  "m_tot_mub_per_fu": 0.27,
  "dos_ef_per_ev_cell": 3.69
}

Entry 12:
{
  "formula": "NaThCu2Se4",
  "functional": "PBE-GGA",
  "state": "relaxed",
  "lattice_angstrom": [[-6.119, -3.254, -0.270], [-1.822, -3.570, -4.721], [-0.882, -5.874, 1.751]],
  "species": ["Na", "Th", "Cu", "Cu", "Se", "Se", "Se", "Se"],
  "frac_coords": [[0.500, 0.500, 0.500], [0.000, 0.000, 0.000], [0.250, 0.250, 0.250], [0.750, 0.750, 0.750], [0.515, 0.030, 0.485], [0.031, 0.970, 0.515], [0.969, 0.485, 0.030], [0.485, 0.515, 0.970]],
  "dft_energy_ev_per_cell": -37.2,
  "crystal_system": "tetragonal",
  "e_form_raw_ev_per_fu": -6.323,
  "m_tot_mub_per_fu": 0.00,
  "dos_ef_per_ev_cell": 0.57
}